The following is a PBE with a Hubbard U calculation of TlVF3 after structural relaxation, from the Alexandria database.

- ΔE to the lowest computed polymorph: 0.053 eV per atom
- Magnetic moment: 0.6000 μB/atom
- E: -5.371 eV/atom

Cell lengths 14.659, 5.868, 5.868 Å; angles 137.47, 143.10, 36.90 degrees
Sites, in units of the cell vectors:
F  0.046  0.620  0.380
V  0.074  0.060  0.940
F  0.834  0.232  0.768
F  0.668  0.167  0.833
F  0.954  0.380  0.620
F  0.332  0.833  0.167
Tl  0.384  0.001  0.999
F  0.166  0.768  0.232
V  0.926  0.940  0.060
Tl  0.616  0.999  0.001